Density functional theory data (PBE) for a relaxed structure of BaNi2Br.

Values from the calculation:
Spin magnetization = 0.0 μB/f.u.
ΔE_f (raw) = 1.090 eV/f.u.
N(E_F) = 2.79 states/eV per cell
Crystal system = orthorhombic
Excess energy over the best structure of this formula in the dataset = 439 meV/atom

abc: 5.7736 5.7736 5.7736
angles: 144.70 126.82 65.45
Closest atoms and distances in Å follow each position.
Fractional coordinates of all 4 atoms:
Br1 0.2500 0.7500 0.5000  4 Ni 2.80, 4 Ba 3.12
Ni1 0.0249 0.0249 0.0000  2 Br 2.80
Ni2 0.4751 0.4751 0.0000  2 Br 2.80
Ba1 0.7500 0.2500 0.5000  4 Br 3.12, 8 Ni 3.19-3.39